Crystalline MgZrNb2 at its relaxed geometry. Source: Alexandria, functional PBE.

Cell: 7.6536 7.6536 6.1038 Å, 51.17 51.17 90.00°
With the nearest neighbours (Å) after each atom.
Fractional coordinates of all 8 atoms:
1 Zr 0.0000 0.0000 0.0000  2 Mg 2.82, 4 Nb 2.85
2 Zr 0.7500 0.2500 0.5000  2 Mg 2.82, 4 Nb 2.85
3 Nb 0.1357 0.6250 0.2500  2 Mg 2.74, 2 Nb 2.83, 2 Zr 2.85
4 Nb 0.3750 0.3857 0.7500  2 Mg 2.74, 2 Nb 2.83, 2 Zr 2.85
5 Nb 0.8750 0.8643 0.7500  2 Mg 2.74, 2 Nb 2.83, 2 Zr 2.85
6 Nb 0.6143 0.1250 0.2500  2 Mg 2.74, 2 Nb 2.83, 2 Zr 2.85
7 Mg 0.5000 0.5000 0.0000  4 Nb 2.74, 2 Zr 2.82
8 Mg 0.2500 0.7500 0.5000  4 Nb 2.74, 2 Zr 2.82

## Properties
Final energy = -55.143 eV/cell
Total moment = 0.000 μB per atom